# 1
VASP calculation (GGA-PBE) on an optimized crystal structure of HfZr3Si.

Unit cell a=5.0919 b=5.0919 c=5.0919 alpha=90.00 beta=90.00 gamma=90.00
Closest atoms and distances in Å follow each position.
Positions (direct):
Hf1 0.0000 0.0000 0.0000  6 Zr 2.55
Zr1 0.0000 0.0000 0.5000  2 Hf 2.55
Zr2 0.0000 0.5000 0.0000  2 Hf 2.55
Zr3 0.5000 0.0000 0.0000  2 Hf 2.55
Si1 0.5000 0.5000 0.5000  12 Zr 3.60

Values from the calculation:
ΔE to the lowest computed polymorph in meV/atom: 1029.7
Formation energy (no corrections) in eV per formula unit: 6.24
Size of the total moment in μB per cell: 1.1



# 2
VASP calculation (GGA-PBE) on an optimized crystal structure of Hf2Zr3Si4.

Unit cell a=7.1005 b=7.1202 c=6.8750 alpha=90.00 beta=108.24 gamma=90.00
Closest atoms and distances in Å follow each position.
Positions (direct):
Hf1 0.1928 0.1766 0.0716  6 Si 2.77-3.09
Hf2 0.1928 0.3234 0.5716  6 Si 2.77-3.09
Hf3 0.8072 0.6766 0.4284  6 Si 2.77-3.09
Hf4 0.8072 0.8234 0.9284  6 Si 2.77-3.09
Zr1 0.2473 0.6822 0.2454  6 Si 2.64-2.78
Zr2 0.2473 0.8178 0.7454  6 Si 2.64-2.78
Zr3 0.5000 0.0000 0.5000  6 Si 2.75-2.85, 2 Zr 3.07
Zr4 0.5000 0.5000 0.0000  6 Si 2.75-2.85, 2 Zr 3.07
Zr5 0.7527 0.1822 0.2546  6 Si 2.64-2.78
Zr6 0.7527 0.3178 0.7546  6 Si 2.64-2.78
Si1 0.0785 0.5258 0.8594  1 Si 2.54, 3 Zr 2.64-2.78, 1 Hf 2.77
Si2 0.0785 0.9742 0.3594  1 Si 2.54, 3 Zr 2.64-2.78, 1 Hf 2.77
Si3 0.4819 0.1250 0.8724  1 Si 2.46, 2 Zr 2.69-2.72
Si4 0.4819 0.3750 0.3724  1 Si 2.46, 2 Zr 2.69-2.72
Si5 0.5181 0.6250 0.6276  1 Si 2.46, 2 Zr 2.69-2.72
Si6 0.5181 0.8750 0.1276  1 Si 2.46, 2 Zr 2.69-2.72
Si7 0.9216 0.0258 0.6406  1 Si 2.54, 3 Zr 2.64-2.78, 1 Hf 2.77
Si8 0.9216 0.4742 0.1406  1 Si 2.54, 3 Zr 2.64-2.78, 1 Hf 2.77

Values from the calculation:
Formation energy (no corrections) in eV per formula unit: -7.54
Size of the total moment in μB per cell: 0.0



# 3
VASP calculation (GGA-PBE) on an optimized crystal structure of HfZr2Si2.

Unit cell a=7.0749 b=7.0749 c=3.7078 alpha=90.00 beta=90.00 gamma=90.00
Closest atoms and distances in Å follow each position.
Positions (direct):
Hf1 0.0000 0.0000 0.0000  4 Si 2.80
Hf2 0.5000 0.5000 0.0000  4 Si 2.80
Zr1 0.1737 0.3263 0.5000  6 Si 2.75-2.82
Zr2 0.3263 0.8263 0.5000  6 Si 2.75-2.82
Zr3 0.6737 0.1737 0.5000  6 Si 2.75-2.82
Zr4 0.8263 0.6737 0.5000  6 Si 2.75-2.82
Si1 0.1233 0.6233 0.0000  1 Si 2.47, 2 Zr 2.75
Si2 0.3767 0.1233 0.0000  1 Si 2.47, 2 Zr 2.75
Si3 0.6233 0.8767 0.0000  1 Si 2.47, 2 Zr 2.75
Si4 0.8767 0.3767 0.0000  1 Si 2.47, 2 Zr 2.75

Values from the calculation:
Formation energy (no corrections) in eV per formula unit: -4.33
Size of the total moment in μB per cell: 0.0



# 4
VASP calculation (GGA-PBE) on an optimized crystal structure of HfZrSi.

Unit cell a=6.6069 b=5.3723 c=5.3450 alpha=76.12 beta=52.13 gamma=51.75
Closest atoms and distances in Å follow each position.
Positions (direct):
Hf1 0.1581 0.1581 0.8419  4 Si 2.81, 3 Hf 2.96-3.14
Hf2 0.8419 0.8419 0.1581  4 Si 2.81, 3 Hf 2.96-3.14
Zr1 0.3435 0.6565 0.3435  4 Si 2.82, 3 Zr 2.91-3.15
Zr2 0.6565 0.3435 0.6565  4 Si 2.82, 3 Zr 2.91-3.15
Si1 0.2500 0.2500 0.2500  2 Si 2.62, 4 Hf 2.81, 4 Zr 2.82
Si2 0.7500 0.7500 0.7500  2 Si 2.62, 4 Hf 2.81, 4 Zr 2.82

Values from the calculation:
Formation energy (no corrections) in eV per formula unit: -2.28
Size of the total moment in μB per cell: 0.0



# 5
VASP calculation (GGA-PBE) on an optimized crystal structure of HfZr2Si.

Unit cell a=6.2572 b=6.2572 c=6.2572 alpha=101.01 beta=101.01 gamma=128.16
Closest atoms and distances in Å follow each position.
Positions (direct):
Hf1 0.0000 0.0000 0.0000  2 Si 2.74
Hf2 0.7500 0.2500 0.5000  2 Si 2.74
Zr1 0.1701 0.6250 0.0451  2 Si 2.66, 2 Zr 2.83
Zr2 0.3750 0.4201 0.5451  2 Si 2.66, 2 Zr 2.83
Zr3 0.5799 0.1250 0.9549  2 Si 2.66, 2 Zr 2.83
Zr4 0.8750 0.8299 0.4549  2 Si 2.66, 2 Zr 2.83
Si1 0.2500 0.7500 0.5000  4 Zr 2.66, 2 Hf 2.74
Si2 0.5000 0.5000 0.0000  4 Zr 2.66, 2 Hf 2.74

Values from the calculation:
Formation energy (no corrections) in eV per formula unit: 0.09
Size of the total moment in μB per cell: 0.0



# 6
VASP calculation (GGA-PBE) on an optimized crystal structure of Hf3Zr2Si4.

Unit cell a=7.0838 b=7.0888 c=6.8591 alpha=90.00 beta=108.52 gamma=90.00
Closest atoms and distances in Å follow each position.
Positions (direct):
Hf1 0.0000 0.0000 0.0000  6 Si 2.73-2.84
Hf2 0.0000 0.5000 0.5000  6 Si 2.73-2.84
Hf3 0.2519 0.1803 0.7543  6 Si 2.63-2.76
Hf4 0.2519 0.3197 0.2543  6 Si 2.63-2.76
Hf5 0.7481 0.6803 0.7457  6 Si 2.63-2.76
Hf6 0.7481 0.8197 0.2457  6 Si 2.63-2.76
Zr1 0.3079 0.6741 0.9314  6 Si 2.77-3.05
Zr2 0.3079 0.8259 0.4314  6 Si 2.77-3.05
Zr3 0.6921 0.1741 0.5686  6 Si 2.77-3.05
Zr4 0.6921 0.3259 0.0686  6 Si 2.77-3.05
Si1 0.0146 0.6250 0.1288  1 Si 2.47, 4 Hf 2.66-2.73
Si2 0.0146 0.8750 0.6288  1 Si 2.47, 4 Hf 2.66-2.73
Si3 0.4214 0.0285 0.1408  1 Si 2.55, 4 Hf 2.63-2.84, 1 Zr 2.77
Si4 0.4214 0.4715 0.6408  1 Si 2.55, 4 Hf 2.63-2.84, 1 Zr 2.77
Si5 0.5786 0.5285 0.3592  1 Si 2.55, 4 Hf 2.63-2.84, 1 Zr 2.77
Si6 0.5786 0.9715 0.8592  1 Si 2.55, 4 Hf 2.63-2.84, 1 Zr 2.77
Si7 0.9854 0.1250 0.3712  1 Si 2.47, 4 Hf 2.66-2.73
Si8 0.9854 0.3750 0.8712  1 Si 2.47, 4 Hf 2.66-2.73

Values from the calculation:
Formation energy (no corrections) in eV per formula unit: -7.84
Size of the total moment in μB per cell: 0.0



# 7
VASP calculation (GGA-PBE) on an optimized crystal structure of Hf2ZrSi2.

Unit cell a=7.0688 b=7.0688 c=3.6686 alpha=90.00 beta=90.00 gamma=90.00
Closest atoms and distances in Å follow each position.
Positions (direct):
Hf1 0.1742 0.3258 0.0000  6 Si 2.74-2.81
Hf2 0.3258 0.8258 0.0000  6 Si 2.74-2.81
Hf3 0.6742 0.1742 0.0000  6 Si 2.74-2.81
Hf4 0.8258 0.6742 0.0000  6 Si 2.74-2.81
Zr1 0.0000 0.0000 0.5000  4 Si 2.80
Zr2 0.5000 0.5000 0.5000  4 Si 2.80
Si1 0.1227 0.6227 0.5000  1 Si 2.45, 2 Hf 2.74
Si2 0.3773 0.1227 0.5000  1 Si 2.45, 2 Hf 2.74
Si3 0.6227 0.8773 0.5000  1 Si 2.45, 2 Hf 2.74
Si4 0.8773 0.3773 0.5000  1 Si 2.45, 2 Hf 2.74

Values from the calculation:
Formation energy (no corrections) in eV per formula unit: -4.08
Size of the total moment in μB per cell: 0.0



# 8
VASP calculation (GGA-PBE) on an optimized crystal structure of SmHf4.

Unit cell a=5.1080 b=5.1080 c=5.1080 alpha=90.00 beta=90.00 gamma=90.00
Closest atoms and distances in Å follow each position.
Positions (direct):
Sm1 0.0000 0.0000 0.0000  6 Hf 2.55
Hf1 0.0000 0.0000 0.5000  2 Sm 2.55
Hf2 0.0000 0.5000 0.0000  2 Sm 2.55
Hf3 0.5000 0.0000 0.0000  2 Sm 2.55
Hf4 0.5000 0.5000 0.5000  12 Hf 3.61

Values from the calculation:
Size of the total moment in μB per cell: 0.0
Formation enthalpy at 0 K in eV per atom: 1.503



# 9
VASP calculation (GGA-PBE) on an optimized crystal structure of SmHf2.

Unit cell a=7.8790 b=7.8790 c=7.8790 alpha=156.53 beta=156.53 gamma=33.44
Closest atoms and distances in Å follow each position.
Positions (direct):
Sm1 0.0000 0.0000 0.0000  4 Sm 3.21, 8 Hf 3.56
Hf1 0.3180 0.3180 0.0000  8 Hf 3.06-3.21
Hf2 0.6820 0.6820 0.0000  8 Hf 3.06-3.21

Values from the calculation:
ΔE to the lowest computed polymorph in meV/atom: 0.0
Size of the total moment in μB per cell: 0.0
Formation enthalpy at 0 K in eV per atom: 0.133



# 10
VASP calculation (GGA-PBE) on an optimized crystal structure of SmHf3.

Unit cell a=3.2804 b=5.1886 c=5.7968 alpha=90.00 beta=90.00 gamma=90.00
Closest atoms and distances in Å follow each position.
Positions (direct):
Sm1 0.0000 0.0000 0.0000  10 Hf 3.27-3.33, 2 Sm 3.28
Hf1 0.0000 0.5000 0.6553  8 Hf 3.13-3.28, 2 Sm 3.27
Hf2 0.5000 0.0000 0.4993  8 Hf 3.14-3.28, 4 Sm 3.33
Hf3 0.5000 0.5000 0.1949  6 Hf 3.13-3.28, 4 Sm 3.27

Values from the calculation:
Size of the total moment in μB per cell: 0.0
Formation enthalpy at 0 K in eV per atom: 0.145



no.,VASP energy (eV per atom),theoretical density (Mg/m³)
1,-6.9565,6.04
2,-8.3090,7.47
3,-8.4449,7.46
4,-8.7358,8.63
5,-8.0945,7.46
6,-8.4984,8.44
7,-8.6753,9.14
8,-7.4034,10.77
9,-8.0759,10.86
10,-8.4994,11.54